No. 1
A relaxed NaNb3O8 crystal. Source: the Alexandria database, functional GGA-PBE.

abc: 5.931 5.931 6.487
angles: 90.00 90.00 120.00
Sites, in units of the cell vectors:
O  0.844  0.689  0.814
O  0.156  0.844  0.186
O  0.667  0.333  0.452
O  0.156  0.311  0.186
Nb  0.000  0.000  0.000
O  0.689  0.844  0.186
Nb  0.667  0.333  0.726
O  0.333  0.667  0.548
O  0.844  0.156  0.814
Nb  0.333  0.667  0.274
Na  0.000  0.000  0.500
O  0.311  0.156  0.814

Results
The energy above the most stable polymorph in this dataset comes out at 88 meV/atom. The calculation puts the formation energy without anion corrections at -2.417 eV/atom.

***

No. 2
A relaxed TaSiBi3 crystal. Source: the Alexandria database, functional GGA-PBE.

abc: 5.490 5.490 5.490
angles: 90.00 90.00 90.00
Sites, in units of the cell vectors:
Bi  0.500  0.000  0.000
Bi  0.000  0.500  0.000
Ta  0.000  0.000  0.000
Si  0.500  0.500  0.500
Bi  0.000  0.000  0.500

Results
The energy above the most stable polymorph in this dataset comes out at 0 meV/atom. The calculation puts the formation energy without anion corrections at 0.963 eV/atom.

***

No. 3
A relaxed LiCdSe2 crystal. Source: the Alexandria database, functional GGA-PBE.

abc: 5.647 3.312 4.577
angles: 90.00 90.00 90.00
Sites, in units of the cell vectors:
Li  0.500  0.872  0.875
Se  0.000  0.876  0.875
Se  0.500  0.375  0.375
Cd  0.000  0.377  0.375

Results
The calculation puts the formation energy without anion corrections at -0.547 eV/atom.

***

No. 4
A relaxed CrTe3Cl crystal. Source: the Alexandria database, functional GGA-PBE.

abc: 5.281 5.281 5.281
angles: 90.00 90.00 90.00
Last column: magnetic moment on the atom in μB.
Sites, in units of the cell vectors:
Te  0.500  0.000  0.000  -0.04
Te  0.000  0.500  0.000  -0.01
Cr  0.500  0.500  0.500  0.61
Cl  0.000  0.000  0.000  0.01
Te  0.000  0.000  0.500  0.00

Results
The energy above the most stable polymorph in this dataset comes out at 1164 meV/atom. The calculation puts the formation energy without anion corrections at 1.435 eV/atom.

***

No. 5
A relaxed CaPaInSn crystal. Source: the Alexandria database, functional GGA-PBE.

abc: 5.371 5.371 5.371
angles: 60.00 60.00 60.00
Last column: magnetic moment on the atom in μB.
Sites, in units of the cell vectors:
Pa  0.000  0.000  0.000  0.80
Ca  0.500  0.500  0.500  0.00
In  0.250  0.250  0.250  0.02
Sn  0.750  0.750  0.750  0.02

Results
The total DFT energy (no corrections) comes out at -4.694 eV/atom.

***

No. 6
A relaxed Co6GeW crystal. Source: the Alexandria database, functional GGA-PBE.

abc: 6.184 6.184 10.117
angles: 90.00 90.00 109.77
Last column: magnetic moment on the atom in μB.
Sites, in units of the cell vectors:
Co  0.000  0.000  0.000  0.08
Co  0.500  0.500  0.500  0.00
Co  0.624  0.873  0.625  -0.01
Ge  0.755  0.245  0.000  0.00
Co  0.624  0.873  0.375  -0.01
Co  0.376  0.126  0.125  0.04
Co  0.127  0.376  0.375  -0.01
Co  0.376  0.126  0.875  0.04
Co  0.624  0.874  0.875  0.04
Co  0.500  0.500  0.000  0.28
Co  0.751  0.249  0.750  -0.01
Ge  0.500  0.500  0.247  0.00
W  0.000  0.000  0.247  -0.01
Co  0.873  0.624  0.625  -0.01
Co  0.000  0.000  0.500  0.00
W  0.000  0.000  0.753  -0.01
Ge  0.245  0.755  0.000  0.00
Co  0.127  0.376  0.625  -0.01
Co  0.874  0.624  0.875  0.04
Co  0.126  0.376  0.875  0.04
Co  0.376  0.127  0.625  -0.01
Co  0.249  0.751  0.250  -0.01
Ge  0.500  0.500  0.753  0.00
W  0.244  0.756  0.500  0.00
Co  0.873  0.624  0.375  -0.01
Co  0.874  0.624  0.125  0.04
W  0.756  0.244  0.500  0.00
Co  0.376  0.127  0.375  -0.01
Co  0.624  0.874  0.125  0.04
Co  0.751  0.249  0.250  -0.01
Co  0.249  0.751  0.750  -0.01
Co  0.126  0.376  0.125  0.04

Results
The total DFT energy (no corrections) comes out at -7.593 eV/atom.

***

No. 7
A relaxed CaCdPt2 crystal. Source: the Alexandria database, functional GGA-PBE.

abc: 5.000 5.000 5.000
angles: 127.71 127.71 77.09
Sites, in units of the cell vectors:
Cd  0.750  0.250  0.500
Pt  0.000  0.000  0.000
Pt  0.500  0.500  0.000
Ca  0.250  0.750  0.500

Results
The total DFT energy (no corrections) comes out at -4.345 eV/atom.

***

No. 8
A relaxed Tl2SbIr crystal. Source: the Alexandria database, functional GGA-PBE.

abc: 7.934 7.934 4.343
angles: 74.12 74.12 23.77
Sites, in units of the cell vectors:
Tl  0.072  0.072  0.928
Tl  0.428  0.428  0.572
Ir  0.750  0.750  0.750
Sb  0.250  0.250  0.250

Results
The energy above the most stable polymorph in this dataset comes out at 121 meV/atom. The calculation puts the formation energy without anion corrections at 0.205 eV/atom.

***

| no. | M_tot (μB per cell) |
| --- | --- |
| 1 | 0.00 |
| 2 | 0.00 |
| 3 | 0.00 |
| 4 | 0.60 |
| 5 | 0.95 |
| 6 | 0.55 |
| 7 | 0.00 |
| 8 | 0.00 |